Entry 1:
VASP calculation (PBE-GGA) on a geometry-optimized TbPr3Y3Te8 structure.

## Properties
Final energy: -5.6595 eV per atom
Formation energy from raw total energies: -1.426 eV per atom

Cell lengths 8.8864, 8.8864, 8.8864 Å; angles 59.58, 59.58, 59.58 degrees
With the nearest neighbours (Å) after each atom.
Atoms (fractional coordinates):
Tb: 0.0000 0.0000 0.0000  6 Te 3.16
Pr: 0.0000 0.0000 0.5000  6 Te 3.19
Pr: 0.0000 0.5000 0.0000  6 Te 3.19
Pr: 0.5000 0.0000 0.0000  6 Te 3.19
Y: 0.0000 0.5000 0.5000  6 Te 3.08
Y: 0.5000 0.0000 0.5000  6 Te 3.08
Y: 0.5000 0.5000 0.0000  6 Te 3.08
Te: 0.2523 0.2523 0.7390  2 Y 3.08, 1 Tb 3.16, 2 Pr 3.19
Te: 0.2523 0.7390 0.2523  2 Y 3.08, 1 Tb 3.16, 2 Pr 3.19
Te: 0.2543 0.2543 0.2543  3 Y 3.08, 3 Pr 3.19
Te: 0.2610 0.7477 0.7477  2 Y 3.08, 1 Tb 3.16, 2 Pr 3.19
Te: 0.7390 0.2523 0.2523  2 Y 3.08, 1 Tb 3.16, 2 Pr 3.19
Te: 0.7457 0.7457 0.7457  3 Y 3.08, 3 Pr 3.19
Te: 0.7477 0.2610 0.7477  2 Y 3.08, 1 Tb 3.16, 2 Pr 3.19
Te: 0.7477 0.7477 0.2610  2 Y 3.08, 1 Tb 3.16, 2 Pr 3.19

---

Entry 2:
VASP calculation (PBE-GGA) on a geometry-optimized TbPr4Y3Te8 structure.

## Properties
Final energy: -5.6438 eV per atom
Formation energy from raw total energies: -1.377 eV per atom

Cell lengths 8.9967, 8.9967, 8.9967 Å; angles 58.63, 58.63, 58.63 degrees
With the nearest neighbours (Å) after each atom.
Atoms (fractional coordinates):
Tb: 0.0000 0.0000 0.0000  6 Te 3.09
Pr: 0.0000 0.0000 0.5000  6 Te 3.21
Pr: 0.0000 0.5000 0.0000  6 Te 3.21
Pr: 0.5000 0.0000 0.0000  6 Te 3.21
Pr: 0.5000 0.5000 0.5000  6 Te 3.21
Y: 0.0000 0.5000 0.5000  6 Te 3.09
Y: 0.5000 0.0000 0.5000  6 Te 3.09
Y: 0.5000 0.5000 0.0000  6 Te 3.09
Te: 0.2455 0.2455 0.7449  2 Y 3.09, 1 Tb 3.09, 3 Pr 3.21
Te: 0.2455 0.7449 0.2455  2 Y 3.09, 1 Tb 3.09, 3 Pr 3.21
Te: 0.2548 0.2548 0.2548  3 Y 3.09, 3 Pr 3.21
Te: 0.2551 0.7545 0.7545  2 Y 3.09, 1 Tb 3.09, 3 Pr 3.21
Te: 0.7449 0.2455 0.2455  2 Y 3.09, 1 Tb 3.09, 3 Pr 3.21
Te: 0.7452 0.7452 0.7452  3 Y 3.09, 3 Pr 3.21
Te: 0.7545 0.2551 0.7545  2 Y 3.09, 1 Tb 3.09, 3 Pr 3.21
Te: 0.7545 0.7545 0.2551  2 Y 3.09, 1 Tb 3.09, 3 Pr 3.21

---

Please write out number 2 again, unchanged.
VASP calculation (PBE-GGA) on a geometry-optimized TbPr4Y3Te8 structure.

## Properties
Final energy: -5.6438 eV per atom
Formation energy from raw total energies: -1.377 eV per atom

Cell lengths 8.9967, 8.9967, 8.9967 Å; angles 58.63, 58.63, 58.63 degrees
With the nearest neighbours (Å) after each atom.
Atoms (fractional coordinates):
Tb: 0.0000 0.0000 0.0000  6 Te 3.09
Pr: 0.0000 0.0000 0.5000  6 Te 3.21
Pr: 0.0000 0.5000 0.0000  6 Te 3.21
Pr: 0.5000 0.0000 0.0000  6 Te 3.21
Pr: 0.5000 0.5000 0.5000  6 Te 3.21
Y: 0.0000 0.5000 0.5000  6 Te 3.09
Y: 0.5000 0.0000 0.5000  6 Te 3.09
Y: 0.5000 0.5000 0.0000  6 Te 3.09
Te: 0.2455 0.2455 0.7449  2 Y 3.09, 1 Tb 3.09, 3 Pr 3.21
Te: 0.2455 0.7449 0.2455  2 Y 3.09, 1 Tb 3.09, 3 Pr 3.21
Te: 0.2548 0.2548 0.2548  3 Y 3.09, 3 Pr 3.21
Te: 0.2551 0.7545 0.7545  2 Y 3.09, 1 Tb 3.09, 3 Pr 3.21
Te: 0.7449 0.2455 0.2455  2 Y 3.09, 1 Tb 3.09, 3 Pr 3.21
Te: 0.7452 0.7452 0.7452  3 Y 3.09, 3 Pr 3.21
Te: 0.7545 0.2551 0.7545  2 Y 3.09, 1 Tb 3.09, 3 Pr 3.21
Te: 0.7545 0.7545 0.2551  2 Y 3.09, 1 Tb 3.09, 3 Pr 3.21

---

Look up the final energy of the second one. -5.6438 eV per atom

---

Number 1 is which compound? TbPr3Y3Te8

---

The highest formation energy from raw total energies belongs to which entry? TbPr4Y3Te8